This record from the Alexandria database describes a relaxed PuHfSe crystal. The functional is PBE-GGA. Values from VASP.

Polymorph energy (0 for the lowest one), meV/atom: 0
Symmetry: P-6m2
Spin magnetization, μB/cell: 10.78
E, eV/cell: -59.376

Quantum ESPRESSO input file:
```
&SYSTEM
  ibrav = 0, nat = 6, ntyp = 3
/
ATOMIC_SPECIES
Se 78.96 Se.upf
Pu 244.00 Pu.upf
Hf 178.49 Hf.upf
ATOMIC_POSITIONS crystal
Se 0.000 0.000 0.366
Se 0.000 0.000 0.634
Pu 0.333 0.667 0.196
Pu 0.333 0.667 0.804
Hf 0.333 0.667 0.500
Hf 0.000 0.000 0.000
CELL_PARAMETERS angstrom
-0.205 -3.254 -1.298
0.119 0.501 3.472
-13.173 0.690 0.351
```